Here is crystalline Mn2BiPd at its relaxed geometry from Alexandria via LeMat-Bulk. Energies are from GGA-PBE.

Cell and atoms, written as POSCAR:
```
Mn2BiPd
1.0
-1.9299 1.9299 9.4434
1.9299 -1.9299 9.4434
1.9299 1.9299 -9.4434
Mn Bi Pd
4 2 2
Direct
0.0209 0.6250 0.8959
0.3750 0.2709 0.3959
0.7291 0.1250 0.1041
0.8750 0.9791 0.6041
0.2500 0.7500 0.5000
0.5000 0.5000 0.0000
0.0000 0.0000 0.0000
0.7500 0.2500 0.5000
```

Results
Its formation enthalpy at 0 K is 709 meV per atom. The value obtained for the density of states at the Fermi level is 14.31 states/eV/cell. The calculation puts the magnetization at 0.0000 μB per atom. The crystal system is tetragonal.



Here is crystalline MnBi4Pd15 at its relaxed geometry from Alexandria via LeMat-Bulk. Energies are from GGA-PBE.

Cell and atoms, written as POSCAR:
```
MnBi4Pd15
1.0
4.1048 0.0000 0.0000
0.0000 4.1048 0.0000
0.0000 0.0000 20.3962
Mn Bi Pd
1 4 15
Direct
0.0000 0.0000 0.0000
0.0000 0.0000 0.1887
0.0000 0.0000 0.3968
0.0000 0.0000 0.6032
0.0000 0.0000 0.8113
0.0000 0.5000 0.0918
0.0000 0.5000 0.2963
0.0000 0.5000 0.5000
0.0000 0.5000 0.7037
0.0000 0.5000 0.9082
0.5000 0.0000 0.0918
0.5000 0.0000 0.2963
0.5000 0.0000 0.5000
0.5000 0.0000 0.7037
0.5000 0.0000 0.9082
0.5000 0.5000 0.0000
0.5000 0.5000 0.1977
0.5000 0.5000 0.3988
0.5000 0.5000 0.6012
0.5000 0.5000 0.8023
```

Results
Its formation enthalpy at 0 K is -243 meV per atom. The value obtained for the density of states at the Fermi level is 8.60 states/eV/cell. The calculation puts the magnetization at 0.2465 μB per atom. The crystal system is tetragonal.



Here is crystalline MnBiPd4 at its relaxed geometry from Alexandria via LeMat-Bulk. Energies are from GGA-PBE.

Cell and atoms, written as POSCAR:
```
MnBiPd4
1.0
2.4464 -4.4055 0.0000
2.4464 4.4055 0.0000
-1.2845 0.0000 4.6942
Mn Bi Pd
1 1 4
Direct
0.0000 0.0000 0.0000
0.5000 0.5000 0.5000
0.1620 0.8380 0.5000
0.3314 0.6686 0.0000
0.6686 0.3314 0.0000
0.8380 0.1620 0.5000
```

Results
Its formation enthalpy at 0 K is -203 meV per atom. The value obtained for the density of states at the Fermi level is 3.00 states/eV/cell. The calculation puts the magnetization at 0.7326 μB per atom. The crystal system is monoclinic. Its energy above the lowest structure with this stoichiometry is 0.0 kJ per mole of atoms.



Here is crystalline MnBiPdPt at its relaxed geometry from Alexandria via LeMat-Bulk. Energies are from GGA-PBE.

Cell and atoms, written as POSCAR:
```
MnBiPdPt
1.0
0.0000 3.3229 3.3229
3.3229 0.0000 3.3229
3.3229 3.3229 0.0000
Mn Bi Pd Pt
1 1 1 1
Direct
0.0000 0.0000 0.0000
0.5000 0.5000 0.5000
0.2500 0.2500 0.2500
0.7500 0.7500 0.7500
```

Results
Its formation enthalpy at 0 K is -158 meV per atom. The value obtained for the density of states at the Fermi level is 1.63 states/eV/cell. The calculation puts the magnetization at 1.1667 μB per atom. The crystal system is cubic.



Here is crystalline RbMnBi2Pd at its relaxed geometry from Alexandria via LeMat-Bulk. Energies are from GGA-PBE.

Cell and atoms, written as POSCAR:
```
RbMnBi2Pd
1.0
5.5631 0.0000 0.0000
0.0000 5.5631 0.0000
0.0000 0.0000 5.1375
Rb Mn Bi Pd
1 1 2 1
Direct
0.0000 0.0000 0.0000
0.5000 0.5000 0.0000
0.0000 0.5000 0.5000
0.5000 0.0000 0.5000
0.5000 0.5000 0.5000
```

Results
Its formation enthalpy at 0 K is 224 meV per atom. The value obtained for the density of states at the Fermi level is 3.48 states/eV/cell. The calculation puts the magnetization at 0.9615 μB per atom. The crystal system is tetragonal.



Here is crystalline MnBiPdRh2 at its relaxed geometry from Alexandria via LeMat-Bulk. Energies are from GGA-PBE.

Cell and atoms, written as POSCAR:
```
MnBiPdRh2
1.0
4.4381 0.0000 0.0000
0.0000 4.4381 0.0000
0.0000 0.0000 4.9586
Mn Bi Pd Rh
1 1 1 2
Direct
0.0000 0.0000 0.0000
0.0000 0.0000 0.5000
0.5000 0.5000 0.5000
0.0000 0.5000 0.0000
0.5000 0.0000 0.0000
```

Results
Its formation enthalpy at 0 K is 842 meV per atom. The value obtained for the density of states at the Fermi level is 5.43 states/eV/cell. The calculation puts the magnetization at 0.0000 μB per atom. The crystal system is tetragonal.



Here is crystalline MnBi2PdRu at its relaxed geometry from Alexandria via LeMat-Bulk. Energies are from GGA-PBE.

Cell and atoms, written as POSCAR:
```
MnBi2PdRu
1.0
5.1502 0.0000 0.0000
0.0000 5.1502 0.0000
0.0000 0.0000 4.9147
Mn Bi Pd Ru
1 2 1 1
Direct
0.0000 0.0000 0.0000
0.0000 0.5000 0.5000
0.5000 0.0000 0.5000
0.5000 0.5000 0.0000
0.5000 0.5000 0.5000
```

Results
Its formation enthalpy at 0 K is 1377 meV per atom. The value obtained for the density of states at the Fermi level is 8.73 states/eV/cell. The calculation puts the magnetization at 0.0802 μB per atom. The crystal system is tetragonal.



Here is crystalline MnBiPdS2 at its relaxed geometry from Alexandria via LeMat-Bulk. Energies are from GGA-PBE.

Cell and atoms, written as POSCAR:
```
MnBiPdS2
1.0
5.2831 0.0000 0.0000
0.0000 5.2831 0.0000
0.0000 0.0000 5.2427
Mn Bi Pd S
1 1 1 2
Direct
0.0000 0.0000 0.0000
0.0000 0.0000 0.5000
0.5000 0.5000 0.0000
0.0000 0.5000 0.5000
0.5000 0.0000 0.5000
```

Results
The value obtained for the density of states at the Fermi level is 6.20 states/eV/cell. The calculation puts the magnetization at 1.1412 μB per atom. The crystal system is tetragonal. As for the formation energy (no corrections): 1.0781 eV per atom.



Here is crystalline MnBi2Sb2Pd7 at its relaxed geometry from Alexandria via LeMat-Bulk. Energies are from GGA-PBE.

Cell and atoms, written as POSCAR:
```
MnBi2Sb2Pd7
1.0
2.8612 -2.8698 0.0000
2.8612 2.8698 0.0000
-1.6831 0.0000 14.9211
Mn Bi Sb Pd
1 2 2 7
Direct
0.0000 0.0000 0.0000
0.1281 0.1281 0.4042
0.8719 0.8719 0.5958
0.4282 0.4282 0.7578
0.5718 0.5718 0.2422
0.0381 0.5383 0.1285
0.3662 0.3662 0.5789
0.4617 0.9619 0.8715
0.5000 0.5000 0.0000
0.5383 0.0381 0.1285
0.6338 0.6338 0.4211
0.9619 0.4617 0.8715
```

Results
The value obtained for the density of states at the Fermi level is 6.35 states/eV/cell. The calculation puts the magnetization at 0.3545 μB per atom. The crystal system is monoclinic. As for the formation energy (no corrections): -0.2687 eV per atom.



Here is crystalline PmMn2Bi at its relaxed geometry from Alexandria via LeMat-Bulk. Energies are from GGA-PBE.

Cell and atoms, written as POSCAR:
```
PmMn2Bi
1.0
4.5711 0.0000 0.0000
0.0000 4.5711 0.0000
0.0000 0.0000 4.3179
Pm Mn Bi
1 2 1
Direct
0.0000 0.0000 0.0000
0.0000 0.5000 0.5000
0.5000 0.0000 0.5000
0.5000 0.5000 0.0000
```

Results
Its formation enthalpy at 0 K is 166 meV per atom. The value obtained for the density of states at the Fermi level is 4.00 states/eV/cell. The calculation puts the magnetization at 1.8495 μB per atom. The crystal system is tetragonal.



Here is crystalline PmMnBi at its relaxed geometry from Alexandria via LeMat-Bulk. Energies are from GGA-PBE.

Cell and atoms, written as POSCAR:
```
PmMnBi
1.0
2.5683 -2.5822 0.0000
2.5683 2.5822 0.0000
-0.0070 0.0000 11.4907
Pm Mn Bi
2 2 2
Direct
0.2500 0.2500 0.1172
0.7500 0.7500 0.8828
0.2500 0.2500 0.4408
0.7500 0.7500 0.5592
0.2500 0.2500 0.6835
0.7500 0.7500 0.3165
```

Results
Its formation enthalpy at 0 K is 35 meV per atom. The value obtained for the density of states at the Fermi level is 5.00 states/eV/cell. The calculation puts the magnetization at 1.1005 μB per atom. The crystal system is monoclinic.



Here is crystalline PmMnBi2 at its relaxed geometry from Alexandria via LeMat-Bulk. Energies are from GGA-PBE.

Cell and atoms, written as POSCAR:
```
PmMnBi2
1.0
4.9670 0.0000 0.0000
0.0000 4.9670 0.0000
0.0000 0.0000 4.3682
Pm Mn Bi
1 1 2
Direct
0.0000 0.0000 0.0000
0.5000 0.5000 0.0000
0.0000 0.5000 0.5000
0.5000 0.0000 0.5000
```

Results
Its formation enthalpy at 0 K is -161 meV per atom. The value obtained for the density of states at the Fermi level is 3.20 states/eV/cell. The calculation puts the magnetization at 1.0578 μB per atom. The crystal system is tetragonal.